This record from the Alexandria database describes an optimized crystal structure of K3MgCr2F9. The functional is PBE with a Hubbard U.

a = 5.8867 Å, b = 5.8867 Å, c = 7.2071 Å
α = 90.00°, β = 90.00°, γ = 120.00°
Space group P-3m1 (No. 164)
One atom of each set of equivalent atoms:
K1 0.0000 0.0000 0.0000
K2 0.3333 0.6667 0.6648
Mg1 0.0000 0.0000 0.5000
Cr1 0.3333 0.6667 0.1706
F1 0.0000 0.5000 0.0000
F2 0.1617 0.3234 0.3389

Calculated values
- V (A^3/atom) = 14.419
- uncorrected energy (eV per atom) = -5.284